[1]
Compound: Cr5Mo3
Source: Alexandria
Functional: PBE
Structure: optimized geometry

Structure (POSCAR):
```
Cr5Mo3
1.0
5.9972 0.0000 0.0000
0.0000 4.2376 4.2409
0.0000 -4.2376 4.2409
Cr Mo
10 6
Direct
0.0000 0.0000 0.0000 Cr
0.0000 0.0016 0.5107 Cr
0.0000 0.5107 0.0016 Cr
0.2452 0.2542 0.7548 Cr
0.2452 0.7548 0.2542 Cr
0.2445 0.7554 0.7554 Cr
0.5000 0.5073 0.5073 Cr
0.7548 0.2542 0.7548 Cr
0.7548 0.7548 0.2542 Cr
0.7555 0.7554 0.7554 Cr
0.0000 0.5109 0.5109 Mo
0.2458 0.2545 0.2545 Mo
0.5000 0.0000 0.0000 Mo
0.5000 0.5086 0.9981 Mo
0.5000 0.9981 0.5086 Mo
0.7542 0.2545 0.2545 Mo
```

Calculated values
E_form: 0.08 eV/atom
Offset from the most stable computed form: 0.148 eV/f.u.
Calculated density: 8.4 g cm⁻³
Symmetry: No. 38
E_tot: -9.998 eV/atom

=====

[2]
Compound: Cr3Mo
Source: Alexandria
Functional: PBE
Structure: optimized geometry

Structure (POSCAR):
```
Cr3Mo
1.0
4.7004 0.0000 0.0000
0.0000 4.7004 0.0000
0.0000 0.0000 4.7004
Cr Mo
6 2
Direct
0.0000 0.2500 0.5000 Cr
0.0000 0.7500 0.5000 Cr
0.2500 0.5000 0.0000 Cr
0.5000 0.0000 0.2500 Cr
0.5000 0.0000 0.7500 Cr
0.7500 0.5000 0.0000 Cr
0.0000 0.0000 0.0000 Mo
0.5000 0.5000 0.5000 Mo
```

Calculated values
E_form: 0.17 eV/atom
Calculated density: 8.1 g cm⁻³
Symmetry: No. 223
E_tot: -9.759 eV/atom

=====

[3]
Compound: Cr5Mo3
Source: Alexandria
Functional: PBE
Structure: optimized geometry

Structure (POSCAR):
```
Cr5Mo3
1.0
1.5118 -2.1386 0.0000
1.5118 2.1386 0.0000
0.0000 0.0000 16.4963
Cr Mo
5 3
Direct
0.0000 0.0000 0.0000 Cr
0.0000 0.0000 0.2300 Cr
0.0000 0.0000 0.7700 Cr
0.5000 0.5000 0.1154 Cr
0.5000 0.5000 0.8846 Cr
0.0000 0.0000 0.5000 Mo
0.5000 0.5000 0.3586 Mo
0.5000 0.5000 0.6414 Mo
```

Calculated values
E_form: 0.07 eV/atom
Offset from the most stable computed form: 0.102 eV/f.u.
Calculated density: 8.5 g cm⁻³
Symmetry: No. 65
E_tot: -10.004 eV/atom

=====

[4]
Compound: Cr3Mo
Source: Alexandria
Functional: PBE
Structure: optimized geometry

Structure (POSCAR):
```
Cr3Mo
1.0
1.3794 0.7964 7.9290
-1.3794 0.7964 7.9290
0.0000 -1.5928 7.9290
Cr Mo
3 1
Direct
0.0000 0.0000 0.0000 Cr
0.2572 0.2572 0.2572 Cr
0.7428 0.7428 0.7428 Cr
0.5000 0.5000 0.5000 Mo
```

Calculated values
E_form: 0.38 eV/atom
Calculated density: 8.0 g cm⁻³
Symmetry: No. 166
E_tot: -9.545 eV/atom

=====

[5]
Compound: Cr5Mo3
Source: Alexandria
Functional: PBE
Structure: optimized geometry

Structure (POSCAR):
```
Cr5Mo3
1.0
2.9920 -4.2201 0.0000
2.9920 4.2201 0.0000
0.0000 0.0000 4.2261
Cr Mo
5 3
Direct
0.0000 0.0000 0.0000 Cr
0.0000 0.5000 0.0000 Cr
0.2466 0.2466 0.5000 Cr
0.5000 0.0000 0.0000 Cr
0.7534 0.7534 0.5000 Cr
0.2465 0.7535 0.5000 Mo
0.5000 0.5000 0.0000 Mo
0.7535 0.2465 0.5000 Mo
```

Calculated values
E_form: 0.06 eV/atom
Offset from the most stable computed form: 0.000 eV/f.u.
Calculated density: 8.5 g cm⁻³
Symmetry: No. 65
E_tot: -10.017 eV/atom

=====

[6]
Compound: CrMo
Source: Alexandria
Functional: PBE
Structure: optimized geometry

Structure (POSCAR):
```
CrMo
1.0
6.7294 0.0000 0.0000
0.0000 6.7294 0.0000
0.0000 0.0000 6.7294
Cr Mo
6 6
Direct
0.0000 0.2500 0.5000 Cr
0.0000 0.7500 0.5000 Cr
0.2500 0.5000 0.0000 Cr
0.5000 0.0000 0.2500 Cr
0.5000 0.0000 0.7500 Cr
0.7500 0.5000 0.0000 Cr
0.0000 0.5000 0.2500 Mo
0.0000 0.5000 0.7500 Mo
0.2500 0.0000 0.5000 Mo
0.5000 0.2500 0.0000 Mo
0.5000 0.7500 0.0000 Mo
0.7500 0.0000 0.5000 Mo
```

Calculated values
E_form: 2.31 eV/atom
Calculated density: 4.8 g cm⁻³
Symmetry: No. 223
E_tot: -7.914 eV/atom

=====

Number 6 is which compound?
CrMo